8
Lattice="2.143 1.237 15.165 -2.143 1.237 15.165 0.000 -2.475 15.165" Properties=species:S:1:pos:R:3 comment="PBE-GGA TlSnTeAu, optimized geometry" rho_g_cm3=8.92 formation_energy_uncorrected_kcal_per_mol_atoms=-2.84 pbc="T T T"
Tl 0.000 0.000 8.883
Tl 0.000 0.000 36.613
Sn 0.000 0.000 17.443
Sn 0.000 0.000 28.053
Te 0.000 0.000 4.251
Te 0.000 0.000 41.245
Au 0.000 0.000 14.359
Au 0.000 0.000 31.137

***

11
Lattice="6.919 -3.084 0.000 6.919 3.084 0.000 -2.797 0.000 8.144" Properties=species:S:1:pos:R:3 comment="PBE-GGA Tb5Te5Pt, optimized geometry" rho_g_cm3=7.78 formation_energy_uncorrected_kcal_per_mol_atoms=-30.48 pbc="T T T"
Tb 0.000 0.000 0.000
Tb 4.387 0.000 1.257
Tb 2.888 0.000 5.599
Tb 8.153 0.000 2.545
Tb 6.654 0.000 6.887
Te -0.019 0.000 6.725
Te 1.574 0.000 2.721
Te 5.521 0.000 4.072
Te 9.467 0.000 5.423
Te 11.060 0.000 1.419
Pt 6.919 0.000 0.000

***

6
Lattice="1.878 1.084 8.141 -1.878 1.084 8.141 0.000 -2.169 8.141" Properties=species:S:1:pos:R:3 comment="PBE-GGA NpNiIr, optimized geometry" rho_g_cm3=16.29 e_above_lowest_polymorph_ev_per_atom=0.577 delta_e_f_ev_per_atom=0.2241 pbc="T T T"
Np 0.000 0.000 3.431
Np 0.000 0.000 20.992
Ni 0.000 0.000 6.325
Ni 0.000 0.000 18.098
Ir 0.000 0.000 8.857
Ir 0.000 0.000 15.566

***

6
Lattice="0.000 3.794 3.794 3.794 0.000 3.794 3.794 3.794 0.000" Properties=species:S:1:pos:R:3 comment="PBE-GGA NpGaPt4, optimized geometry" rho_g_cm3=16.53 delta_e_f_ev_per_atom=-0.5193 pbc="T T T"
Np 0.000 0.000 0.000
Ga 5.690 5.690 5.690
Pt 2.848 2.848 2.848
Pt 4.739 4.739 2.848
Pt 4.739 2.848 4.739
Pt 2.848 4.739 4.739

***

4
Lattice="0.000 3.241 3.241 3.241 0.000 3.241 3.241 3.241 0.000" Properties=species:S:1:pos:R:3 comment="PBE-GGA NbMo2Br, optimized geometry" rho_g_cm3=8.89 formation_energy_uncorrected_kcal_per_mol_atoms=20.50 e_above_lowest_polymorph_ev_per_atom=0.000 pbc="T T T"
Nb 0.000 0.000 0.000
Mo 1.621 1.621 1.621
Mo 4.862 4.862 4.862
Br 3.241 3.241 3.241

***

12
Lattice="7.486 -3.022 0.000 7.486 3.022 0.000 -6.191 0.000 9.170" Properties=species:S:1:pos:R:3 comment="PBE-GGA La7PrTl4, optimized geometry" rho_g_cm3=7.73 delta_e_f_ev_per_atom=-0.1260 pbc="T T T"
La 0.000 0.000 0.000
La -0.800 0.000 5.944
La 3.751 0.000 1.084
La 2.791 0.000 5.677
La 5.989 0.000 3.493
La 5.029 0.000 8.087
La 9.580 0.000 3.226
Pr 7.486 0.000 0.000
Tl -3.798 0.000 6.918
Tl 0.780 0.000 3.054
Tl 8.000 0.000 6.116
Tl 12.578 0.000 2.253

***

8
Lattice="-2.522 2.522 9.008 2.522 -2.522 9.008 2.522 2.522 -9.008" Properties=species:S:1:pos:R:3 comment="PBE-GGA HgBi2F, optimized geometry" rho_g_cm3=9.24 formation_energy_uncorrected_kcal_per_mol_atoms=-10.70 e_above_lowest_polymorph_ev_per_atom=0.075 pbc="T T T"
Hg 0.000 0.000 0.000
Hg 0.000 2.522 4.504
Bi 1.261 -0.888 6.756
Bi 1.634 1.261 2.252
Bi 1.261 3.411 -2.252
Bi 0.888 1.261 11.260
F 2.522 0.000 4.504
F 0.000 0.000 9.008

***

5
Lattice="4.522 0.000 0.000 0.000 4.522 0.000 0.000 0.000 4.522" Properties=species:S:1:pos:R:3 comment="PBE-GGA Nb3FeC, optimized geometry" rho_g_cm3=6.22 e_above_lowest_polymorph_ev_per_atom=1.656 delta_e_f_ev_per_atom=1.7827 pbc="T T T"
Nb 0.000 0.000 2.261
Nb 0.000 2.261 0.000
Nb 2.261 0.000 0.000
Fe 0.000 0.000 0.000
C 2.261 2.261 2.261

***

12
Lattice="9.562 -2.179 0.000 9.562 2.179 0.000 -2.007 0.000 8.606" Properties=species:S:1:pos:R:3 comment="PBE-GGA PrDy3Y2Te6, optimized geometry" rho_g_cm3=7.28 formation_energy_uncorrected_kcal_per_mol_atoms=-30.36 pbc="T T T"
Pr 0.000 0.000 0.000
Dy -1.004 0.000 4.303
Dy 6.144 0.000 1.433
Dy 10.974 0.000 7.173
Y 5.078 0.000 5.770
Y 12.039 0.000 2.835
Te 2.034 0.000 5.031
Te 3.128 0.000 0.738
Te 8.055 0.000 6.363
Te 9.063 0.000 2.243
Te 13.989 0.000 7.868
Te 15.083 0.000 3.575

***

17
Lattice="-2.599 2.599 18.443 2.599 -2.599 18.443 2.599 2.599 -18.443" Properties=species:S:1:pos:R:3 comment="PBE-GGA K10Cl4O3, optimized geometry" rho_g_cm3=1.93 formation_energy_uncorrected_kcal_per_mol_atoms=-33.42 pbc="T T T"
K 2.599 0.000 0.000
K 0.000 0.000 2.615
K 2.599 0.000 5.202
K 0.000 0.000 7.796
K 2.599 0.000 13.241
K 0.000 2.599 0.000
K 0.000 2.599 5.202
K 0.000 0.000 29.089
K 0.000 2.599 13.241
K 0.000 0.000 34.271
Cl 0.000 0.000 10.967
Cl 0.000 0.000 15.876
Cl 0.000 0.000 21.009
Cl 0.000 0.000 25.918
O 0.000 0.000 0.000
O 0.000 0.000 5.262
O 0.000 0.000 31.623

***

16
Lattice="1.718 -5.904 0.000 1.718 5.904 0.000 0.000 0.000 12.009" Properties=species:S:1:pos:R:3 comment="PBE-GGA Pm2DyRuN4, optimized geometry" rho_g_cm3=8.31 formation_energy_uncorrected_kcal_per_mol_atoms=-20.17 pbc="T T T"
Pm 1.718 4.344 6.517
Pm 1.718 4.344 11.496
Pm 1.718 -4.344 0.513
Pm 1.718 -4.344 5.492
Dy 1.718 1.525 9.007
Dy 1.718 -1.525 3.002
Ru 1.718 1.656 3.002
Ru 1.718 -1.656 9.007
N 1.718 5.228 9.007
N 1.718 3.218 1.645
N 1.718 3.218 4.359
N 1.718 0.000 0.000
N 1.718 0.000 6.004
N 1.718 -3.218 7.650
N 1.718 -3.218 10.363
N 1.718 -5.228 3.002

***

10
Lattice="6.894 0.000 0.000 0.000 6.894 0.000 0.000 0.000 2.730" Properties=species:S:1:pos:R:3 comment="PBE-GGA Be2NbPd2, optimized geometry" rho_g_cm3=8.29 e_above_lowest_polymorph_ev_per_atom=0.000 delta_e_f_ev_per_atom=-0.3474 pbc="T T T"
Be 0.829 2.619 0.000
Be 2.619 6.066 0.000
Be 4.276 0.829 0.000
Be 6.066 4.276 0.000
Nb 0.000 0.000 0.000
Nb 3.447 3.447 0.000
Pd 1.177 4.625 1.365
Pd 2.270 1.177 1.365
Pd 4.625 5.717 1.365
Pd 5.717 2.270 1.365